# 1
VASP calculation (GGA-PBE) on a relaxed structure of TaCd3Cl.

Results
size of the total moment = 2.58 Bohr magnetons per cell
density = 5.24 g/cm3
formation energy without anion corrections = 0.910 eV per atom

abc: 5.5994 5.5994 5.5994
angles: 90.00 90.00 90.00
With the nearest neighbours (Å) after each atom.
Atoms (fractional coordinates):
Ta 0.0000 0.0000 0.0000  6 Cd 2.80
Cd 0.0000 0.0000 0.5000  2 Ta 2.80
Cd 0.0000 0.5000 0.0000  2 Ta 2.80
Cd 0.5000 0.0000 0.0000  2 Ta 2.80
Cl 0.5000 0.5000 0.5000  12 Cd 3.96

---

# 2
VASP calculation (GGA-PBE) on a relaxed structure of TaCdCl.

Results
size of the total moment = 0.00 Bohr magnetons per cell
density = 7.87 g/cm3
formation energy without anion corrections = -0.003 eV per atom

abc: 3.3046 4.9780 16.8764
angles: 90.00 90.00 90.00
With the nearest neighbours (Å) after each atom.
Atoms (fractional coordinates):
Ta 0.0000 0.0000 0.0000  2 Cl 2.51
Ta 0.0000 0.5000 0.5000  2 Cl 2.51
Ta 0.5000 0.0000 0.5000  2 Cl 2.51
Ta 0.5000 0.5000 0.0000  2 Cl 2.51
Cd 0.0000 0.0000 0.6471  2 Ta 2.98, 6 Cd 2.99-3.30
Cd 0.0000 0.5000 0.1471  2 Ta 2.98, 6 Cd 2.99-3.30
Cd 0.5000 0.0000 0.1471  2 Ta 2.98, 6 Cd 2.99-3.30
Cd 0.5000 0.5000 0.6471  2 Ta 2.98, 6 Cd 2.99-3.30
Cl 0.0000 0.0000 0.3881  2 Ta 2.51
Cl 0.0000 0.5000 0.8881  2 Ta 2.51
Cl 0.5000 0.0000 0.8881  2 Ta 2.51
Cl 0.5000 0.5000 0.3881  2 Ta 2.51

---

# 3
VASP calculation (GGA-PBE) on a relaxed structure of TaCdCl2.

Results
size of the total moment = 2.60 Bohr magnetons per cell
density = 6.19 g/cm3
formation energy without anion corrections = -0.108 eV per atom

abc: 3.0521 4.5935 13.9415
angles: 90.00 90.00 90.00
With the nearest neighbours (Å) after each atom.
Atoms (fractional coordinates):
Ta 0.0000 0.0000 0.0000  6 Cl 2.52-2.77
Ta 0.5000 0.5000 0.5000  6 Cl 2.52-2.77
Cd 0.0000 0.5000 0.6825  2 Ta 2.97, 2 Cd 3.05, 2 Cl 3.24
Cd 0.5000 0.0000 0.1825  2 Ta 2.97, 2 Cd 3.05, 2 Cl 3.24
Cl 0.0000 0.0000 0.5184  4 Ta 2.77, 2 Cl 3.05
Cl 0.0000 0.5000 0.3557  2 Ta 2.52
Cl 0.5000 0.0000 0.8557  2 Ta 2.52
Cl 0.5000 0.5000 0.0184  4 Ta 2.77, 2 Cl 3.05

---

# 4
VASP calculation (GGA-PBE) on a relaxed structure of TaCdCl2.

Results
size of the total moment = 0.00 Bohr magnetons per cell
density = 7.58 g/cm3
formation energy without anion corrections = -0.113 eV per atom

abc: 3.1157 4.3894 5.8382
angles: 90.00 91.05 90.00
With the nearest neighbours (Å) after each atom.
Atoms (fractional coordinates):
Ta 0.0000 0.0000 0.0000  4 Cl 2.59
Cd 0.5000 0.0000 0.5000  8 Cl 3.00-3.27, 2 Cd 3.12, 4 Ta 3.28-3.33
Cl 0.0952 0.5000 0.7716  2 Ta 2.59, 1 Cl 2.74
Cl 0.9048 0.5000 0.2284  2 Ta 2.59, 1 Cl 2.74

---

# 5
VASP calculation (GGA-PBE) on a relaxed structure of TaCdCl2.

Results
size of the total moment = 0.00 Bohr magnetons per cell
density = 3.95 g/cm3
formation energy without anion corrections = 0.207 eV per atom

abc: 7.3700 7.3700 11.2787
angles: 90.00 90.00 90.00
With the nearest neighbours (Å) after each atom.
Atoms (fractional coordinates):
Ta 0.0000 0.0000 0.0000  4 Cl 2.32
Ta 0.0000 0.5000 0.2500  4 Cl 2.32
Ta 0.5000 0.0000 0.7500  4 Cl 2.32
Ta 0.5000 0.5000 0.5000  4 Cl 2.32
Cd 0.0000 0.0000 0.5000  12 Cl 4.34-4.61, 4 Cd 4.64, 4 Ta 4.64
Cd 0.0000 0.5000 0.7500  12 Cl 4.34-4.61, 4 Ta 4.64, 4 Cd 4.64
Cd 0.5000 0.0000 0.2500  12 Cl 4.34-4.61, 4 Cd 4.64, 4 Ta 4.64
Cd 0.5000 0.5000 0.0000  12 Cl 4.34-4.61, 4 Cd 4.64, 4 Ta 4.64
Cl 0.0021 0.7500 0.1250  2 Ta 2.32
Cl 0.2500 0.0021 0.8750  2 Ta 2.32
Cl 0.2500 0.4979 0.3750  2 Ta 2.32
Cl 0.4979 0.7500 0.6250  2 Ta 2.32
Cl 0.5021 0.2500 0.6250  2 Ta 2.32
Cl 0.7500 0.5021 0.3750  2 Ta 2.32
Cl 0.7500 0.9979 0.8750  2 Ta 2.32
Cl 0.9979 0.2500 0.1250  2 Ta 2.32

---

# 6
VASP calculation (GGA-PBE) on a relaxed structure of TaCdCl2.

Results
size of the total moment = 0.00 Bohr magnetons per cell
density = 6.29 g/cm3
formation energy without anion corrections = -0.222 eV per atom

abc: 3.0802 4.7006 6.7724
angles: 90.00 101.37 90.00
With the nearest neighbours (Å) after each atom.
Atoms (fractional coordinates):
Ta 0.0000 0.0000 0.0000  4 Cl 2.50-2.51
Cd 0.6062 0.5000 0.2464  2 Cl 2.94-2.95, 2 Cd 3.08, 4 Ta 3.25
Cl 0.3717 0.0000 0.7036  2 Ta 2.50
Cl 0.9431 0.5000 0.8681  2 Ta 2.51

---

# 7
VASP calculation (GGA-PBE) on a relaxed structure of TaCdCl.

Results
size of the total moment = 0.00 Bohr magnetons per cell
density = 7.76 g/cm3
formation energy without anion corrections = -0.202 eV per atom

abc: 3.0122 6.0503 8.1712
angles: 77.61 89.59 75.63
With the nearest neighbours (Å) after each atom.
Atoms (fractional coordinates):
Ta 0.1714 0.1617 0.3785  2 Cl 2.50
Ta 0.8286 0.8383 0.6215  2 Cl 2.50
Cd 0.4254 0.6540 0.3451  3 Cd 2.77-3.01, 2 Ta 3.05-3.10
Cd 0.5746 0.3460 0.6549  3 Cd 2.77-3.01, 2 Ta 3.05-3.10
Cl 0.3410 0.8043 0.8694  2 Ta 2.50
Cl 0.6590 0.1957 0.1306  2 Ta 2.50

---

# 8
VASP calculation (GGA-PBE) on a relaxed structure of TaCdCl2.

Results
size of the total moment = 0.00 Bohr magnetons per cell
density = 6.56 g/cm3
formation energy without anion corrections = -0.187 eV per atom

abc: 3.0573 3.0573 9.8709
angles: 90.00 90.00 90.00
With the nearest neighbours (Å) after each atom.
Atoms (fractional coordinates):
Ta 0.0000 0.0000 0.0000  8 Cl 2.65
Cd 0.0000 0.0000 0.5000  4 Cd 3.06
Cl 0.5000 0.5000 0.1550  4 Ta 2.65
Cl 0.5000 0.5000 0.8450  4 Ta 2.65

---

# 9
VASP calculation (GGA-PBE) on a relaxed structure of Ta3CdCl.

Results
size of the total moment = 0.00 Bohr magnetons per cell
density = 12.02 g/cm3
formation energy without anion corrections = 0.907 eV per atom

abc: 4.5692 4.5692 4.5692
angles: 90.00 90.00 90.00
With the nearest neighbours (Å) after each atom.
Atoms (fractional coordinates):
Ta 0.0000 0.0000 0.5000  2 Cl 2.28
Ta 0.0000 0.5000 0.0000  2 Cl 2.28
Ta 0.5000 0.0000 0.0000  2 Cl 2.28
Cd 0.5000 0.5000 0.5000  12 Ta 3.23
Cl 0.0000 0.0000 0.0000  6 Ta 2.28

---

# 10
VASP calculation (GGA-PBE) on a relaxed structure of TaCdCl.

Results
size of the total moment = 0.00 Bohr magnetons per cell
density = 7.60 g/cm3
formation energy without anion corrections = -0.232 eV per atom

abc: 5.3611 3.0464 9.1740
angles: 90.00 106.43 90.00
With the nearest neighbours (Å) after each atom.
Atoms (fractional coordinates):
Ta 0.0089 0.2500 0.1295  2 Cl 2.54, 2 Ta 2.80
Ta 0.9911 0.7500 0.8705  2 Cl 2.54, 2 Ta 2.80
Cd 0.4771 0.2500 0.8558  4 Cd 3.00-3.05, 1 Cl 3.03, 5 Ta 3.05-3.22
Cd 0.5229 0.7500 0.1442  4 Cd 3.00-3.05, 1 Cl 3.03, 5 Ta 3.05-3.22
Cl 0.1804 0.7500 0.3569  2 Ta 2.54
Cl 0.8196 0.2500 0.6431  2 Ta 2.54

---

# 11
VASP calculation (GGA-PBE) on a relaxed structure of TaCdCl2.

Results
size of the total moment = 0.02 Bohr magnetons per cell
density = 7.58 g/cm3
formation energy without anion corrections = 0.216 eV per atom

abc: 3.0178 4.5738 5.7831
angles: 90.00 90.00 90.00
With the nearest neighbours (Å) after each atom.
Atoms (fractional coordinates):
Ta 0.0000 0.0000 0.0000  4 Cl 2.74, 2 Ta 3.02
Cd 0.5000 0.0000 0.5000  4 Cl 2.74, 2 Cd 3.02
Cl 0.0000 0.5000 0.5000  4 Cd 2.74, 2 Cl 3.02
Cl 0.5000 0.5000 0.0000  4 Ta 2.74, 2 Cl 3.02

---

# 12
VASP calculation (GGA-PBE) on a relaxed structure of TaCdCl2.

Results
size of the total moment = 0.00 Bohr magnetons per cell
density = 6.32 g/cm3
formation energy without anion corrections = -0.392 eV per atom

abc: 2.9727 5.9317 10.8491
angles: 90.00 90.00 90.00
With the nearest neighbours (Å) after each atom.
Atoms (fractional coordinates):
Ta 0.0000 0.0000 0.0000  4 Cl 2.49
Ta 0.5000 0.5000 0.0000  4 Cl 2.49
Cd 0.0000 0.0000 0.5000  6 Cd 2.97-3.32
Cd 0.5000 0.5000 0.5000  6 Cd 2.97-3.32
Cl 0.0000 0.5000 0.1845  2 Ta 2.49
Cl 0.0000 0.5000 0.8155  2 Ta 2.49
Cl 0.5000 0.0000 0.1845  2 Ta 2.49
Cl 0.5000 0.0000 0.8155  2 Ta 2.49

---

# 13
VASP calculation (GGA-PBE) on a relaxed structure of TaCdCl2.

Results
size of the total moment = 2.06 Bohr magnetons per cell
density = 7.38 g/cm3
formation energy without anion corrections = 0.564 eV per atom

abc: 4.3655 4.3655 4.2991
angles: 90.00 90.00 90.00
With the nearest neighbours (Å) after each atom.
Atoms (fractional coordinates):
Ta 0.0000 0.0000 0.0000  8 Cl 3.06, 4 Cd 3.09
Cd 0.5000 0.5000 0.0000  8 Cl 3.06, 4 Ta 3.09
Cl 0.0000 0.5000 0.5000  4 Cd 3.06, 4 Ta 3.06, 4 Cl 3.09
Cl 0.5000 0.0000 0.5000  4 Cd 3.06, 4 Ta 3.06, 4 Cl 3.09

---

# 14
VASP calculation (GGA-PBE) on a relaxed structure of TaCd3Cl.

Results
size of the total moment = 2.06 Bohr magnetons per cell
density = 6.91 g/cm3
formation energy without anion corrections = 1.191 eV per atom

abc: 5.1047 5.1047 5.1047
angles: 90.00 90.00 90.00
With the nearest neighbours (Å) after each atom.
Atoms (fractional coordinates):
Ta 0.0000 0.0000 0.0000  12 Cd 3.61
Cd 0.0000 0.5000 0.5000  2 Cl 2.55
Cd 0.5000 0.0000 0.5000  2 Cl 2.55
Cd 0.5000 0.5000 0.0000  2 Cl 2.55
Cl 0.5000 0.5000 0.5000  6 Cd 2.55

---

# 15
VASP calculation (GGA-PBE) on a relaxed structure of TaCdCl3.

Results
size of the total moment = 3.98 Bohr magnetons per cell
density = 4.81 g/cm3
formation energy without anion corrections = 0.497 eV per atom

abc: 5.1678 5.1678 5.1678
angles: 90.00 90.00 90.00
With the nearest neighbours (Å) after each atom.
Atoms (fractional coordinates):
Ta 0.0000 0.0000 0.0000  12 Cl 3.65
Cd 0.5000 0.5000 0.5000  6 Cl 2.58
Cl 0.0000 0.5000 0.5000  2 Cd 2.58
Cl 0.5000 0.0000 0.5000  2 Cd 2.58
Cl 0.5000 0.5000 0.0000  2 Cd 2.58